DFT (SCAN) results for a crystal of YHf2Tc2 relaxed with PBEsol. Values from VASP.

Summary:
The calculated density is 10.24 g/cm3. The space-group type is I4/mmm. For the uncorrected energy, the calculation gives -44.80 eV per atom.

The structure in Quantum ESPRESSO input format:
```
&SYSTEM
  ibrav = 0, nat = 5, ntyp = 3
/
ATOMIC_SPECIES
Y 88.91 Y.upf
Hf 178.49 Hf.upf
Tc 98.00 Tc.upf
ATOMIC_POSITIONS angstrom
Y 0.0000 0.0000 0.0000
Hf 2.1435 0.0000 2.8308
Hf 0.0000 2.1435 2.8308
Tc 0.0000 0.0000 4.4477
Tc 0.0000 0.0000 6.8757
CELL_PARAMETERS angstrom
-2.1435 2.1435 5.6617
2.1435 -2.1435 5.6617
2.1435 2.1435 -5.6617
```

***

DFT (SCAN) results for a crystal of Hf3ZnTc relaxed with PBEsol. Values from VASP.

Summary:
The calculated density is 10.90 g/cm3. The space-group type is Pm-3m. For the uncorrected energy, the calculation gives -46.29 eV per atom.

The structure in Quantum ESPRESSO input format:
```
&SYSTEM
  ibrav = 0, nat = 5, ntyp = 3
/
ATOMIC_SPECIES
Hf 178.49 Hf.upf
Zn 65.41 Zn.upf
Tc 98.00 Tc.upf
ATOMIC_POSITIONS angstrom
Hf 0.0000 0.0000 2.3700
Hf 0.0000 2.3700 0.0000
Hf 2.3700 0.0000 0.0000
Zn 0.0000 0.0000 0.0000
Tc 2.3700 2.3700 2.3700
CELL_PARAMETERS angstrom
4.7401 0.0000 0.0000
0.0000 4.7401 0.0000
0.0000 0.0000 4.7401
```

***

DFT (SCAN) results for a crystal of HfZrTc2 relaxed with PBEsol. Values from VASP.

Summary:
The calculated density is 11.46 g/cm3. The space-group type is Fm-3m. For the uncorrected energy, the calculation gives -41.38 eV per atom.

The structure in Quantum ESPRESSO input format:
```
&SYSTEM
  ibrav = 0, nat = 4, ntyp = 3
/
ATOMIC_SPECIES
Hf 178.49 Hf.upf
Zr 91.22 Zr.upf
Tc 98.00 Tc.upf
ATOMIC_POSITIONS angstrom
Hf 0.0000 0.0000 0.0000
Zr 3.2318 3.2318 3.2318
Tc 1.6159 1.6159 1.6159
Tc 4.8477 4.8477 4.8477
CELL_PARAMETERS angstrom
0.0000 3.2318 3.2318
3.2318 0.0000 3.2318
3.2318 3.2318 0.0000
```

***

DFT (SCAN) results for a crystal of Hf5Te4 relaxed with PBEsol. Values from VASP.

Summary:
The calculated density is 11.14 g/cm3. The space-group type is I4/m. For the uncorrected energy, the calculation gives -52.07 eV per atom.

The structure in Quantum ESPRESSO input format:
```
&SYSTEM
  ibrav = 0, nat = 9, ntyp = 2
/
ATOMIC_SPECIES
Hf 178.49 Hf.upf
Te 127.60 Te.upf
ATOMIC_POSITIONS angstrom
Hf 0.0000 0.0000 0.0000
Hf 6.7077 3.2899 0.0000
Hf 3.2899 3.8976 0.0000
Hf 2.0128 1.4050 1.8588
Hf -1.4050 2.0128 1.8588
Te 7.5602 0.5383 0.0000
Te 0.5383 3.0451 0.0000
Te 4.7643 2.2576 1.8588
Te -2.2576 4.7643 1.8588
CELL_PARAMETERS angstrom
-5.3026 5.3026 1.8588
5.3026 -5.3026 1.8588
5.3026 5.3026 -1.8588
```

***

DFT (SCAN) results for a crystal of Hf2Te3 relaxed with PBEsol. Values from VASP.

Summary:
The calculated density is 9.24 g/cm3. The space-group type is R-3. For the uncorrected energy, the calculation gives -48.22 eV per atom.

The structure in Quantum ESPRESSO input format:
```
&SYSTEM
  ibrav = 0, nat = 10, ntyp = 2
/
ATOMIC_SPECIES
Hf 178.49 Hf.upf
Te 127.60 Te.upf
ATOMIC_POSITIONS angstrom
Hf 0.0000 0.0000 0.0000
Hf 0.0000 0.0000 3.1616
Hf 0.0000 0.0000 9.8582
Hf 0.0000 0.0000 16.5548
Te -2.2378 -0.1080 8.1003
Te -1.0254 -1.9920 11.6162
Te 1.2124 -1.8840 8.1003
Te -1.2124 1.8840 11.6162
Te 1.0254 1.9920 8.1003
Te 2.2378 0.1080 11.6162
CELL_PARAMETERS angstrom
3.4176 1.9732 6.5721
-3.4176 1.9732 6.5721
0.0000 -3.9463 6.5721
```

***

DFT (SCAN) results for a crystal of HfTe3 relaxed with PBEsol. Values from VASP.

Summary:
The calculated density is 8.38 g/cm3. The space-group type is P2_1/m. For the uncorrected energy, the calculation gives -44.27 eV per atom.

The structure in Quantum ESPRESSO input format:
```
&SYSTEM
  ibrav = 0, nat = 8, ntyp = 2
/
ATOMIC_SPECIES
Hf 178.49 Hf.upf
Te 127.60 Te.upf
ATOMIC_POSITIONS angstrom
Hf 0.7804 0.9605 3.2604
Hf 3.7149 2.8814 6.6010
Te -0.7118 0.9605 8.2183
Te 0.7860 2.8814 5.4726
Te 2.2006 2.8814 1.5922
Te 2.2947 0.9605 8.2692
Te 3.7093 0.9605 4.3888
Te 5.2071 2.8814 1.6431
CELL_PARAMETERS angstrom
5.8713 0.0000 0.0000
0.0000 3.8419 0.0000
-1.3760 0.0000 9.8614
```

***

DFT (SCAN) results for a crystal of Hf3Te2 relaxed with PBEsol. Values from VASP.

Summary:
The calculated density is 11.09 g/cm3. The space-group type is I4/mmm. For the uncorrected energy, the calculation gives -53.13 eV per atom.

The structure in Quantum ESPRESSO input format:
```
&SYSTEM
  ibrav = 0, nat = 5, ntyp = 2
/
ATOMIC_SPECIES
Hf 178.49 Hf.upf
Te 127.60 Te.upf
ATOMIC_POSITIONS angstrom
Hf 0.0000 0.0000 0.0000
Hf 0.0000 0.0000 7.1496
Hf 0.0000 0.0000 10.5384
Te 0.0000 0.0000 3.0047
Te 0.0000 0.0000 14.6833
CELL_PARAMETERS angstrom
-1.8295 1.8295 8.8440
1.8295 -1.8295 8.8440
1.8295 1.8295 -8.8440
```

***

DFT (SCAN) results for a crystal of HfTiTe3 relaxed with PBEsol. Values from VASP.

Summary:
The calculated density is 7.25 g/cm3. The space-group type is Pm-3m. For the uncorrected energy, the calculation gives -37.77 eV per atom.

The structure in Quantum ESPRESSO input format:
```
&SYSTEM
  ibrav = 0, nat = 5, ntyp = 3
/
ATOMIC_SPECIES
Hf 178.49 Hf.upf
Ti 47.87 Ti.upf
Te 127.60 Te.upf
ATOMIC_POSITIONS angstrom
Hf 0.0000 0.0000 0.0000
Ti 2.5928 2.5928 2.5928
Te 0.0000 2.5928 2.5928
Te 2.5928 0.0000 2.5928
Te 2.5928 2.5928 0.0000
CELL_PARAMETERS angstrom
5.1856 0.0000 0.0000
0.0000 5.1856 0.0000
0.0000 0.0000 5.1856
```

***

DFT (SCAN) results for a crystal of Hf3TiTe20 relaxed with PBEsol. Values from VASP.

Summary:
The calculated density is 6.75 g/cm3. The space-group type is Amm2. For the uncorrected energy, the calculation gives -40.00 eV per atom.

The structure in Quantum ESPRESSO input format:
```
&SYSTEM
  ibrav = 0, nat = 24, ntyp = 3
/
ATOMIC_SPECIES
Hf 178.49 Hf.upf
Ti 47.87 Ti.upf
Te 127.60 Te.upf
ATOMIC_POSITIONS angstrom
Hf 0.0000 0.0000 0.0000
Hf 6.8525 0.0000 5.5126
Hf 20.4032 0.0000 5.5126
Ti 13.6278 0.0000 0.0869
Te 0.0000 0.0000 5.0338
Te 1.3878 0.0000 8.8885
Te 2.5276 0.0000 12.9765
Te 4.3103 0.0000 6.9841
Te 5.4824 0.0000 11.0908
Te 6.8166 0.0000 0.4802
Te 8.2606 0.0000 11.1200
Te 9.3517 0.0000 7.0521
Te 11.1801 0.0000 13.0929
Te 12.2637 0.0000 8.8840
Te 13.6278 0.0000 5.1967
Te 14.9919 0.0000 8.8840
Te 16.0755 0.0000 13.0929
Te 17.9040 0.0000 7.0521
Te 18.9950 0.0000 11.1200
Te 20.4390 0.0000 0.4802
Te 21.7733 0.0000 11.0908
Te 22.9454 0.0000 6.9841
Te 24.7281 0.0000 12.9765
Te 25.8678 0.0000 8.8885
CELL_PARAMETERS angstrom
27.2557 0.0000 0.0000
0.0000 1.9560 7.2389
0.0000 -1.9560 7.2389
```

***

DFT (SCAN) results for a crystal of HfTl2Te relaxed with PBEsol. Values from VASP.

Summary:
The calculated density is 11.52 g/cm3. The space-group type is Fm-3m. For the uncorrected energy, the calculation gives -60.63 eV per atom.

The structure in Quantum ESPRESSO input format:
```
&SYSTEM
  ibrav = 0, nat = 4, ntyp = 3
/
ATOMIC_SPECIES
Hf 178.49 Hf.upf
Tl 204.38 Tl.upf
Te 127.60 Te.upf
ATOMIC_POSITIONS angstrom
Hf 0.0000 0.0000 0.0000
Tl 1.8606 1.8606 1.8606
Tl 5.5817 5.5817 5.5817
Te 3.7211 3.7211 3.7211
CELL_PARAMETERS angstrom
0.0000 3.7211 3.7211
3.7211 0.0000 3.7211
3.7211 3.7211 0.0000
```

***

DFT (SCAN) results for a crystal of YHfTe3 relaxed with PBEsol. Values from VASP.

Summary:
The calculated density is 6.69 g/cm3. The space-group type is Pm-3m. For the uncorrected energy, the calculation gives -40.87 eV per atom.

The structure in Quantum ESPRESSO input format:
```
&SYSTEM
  ibrav = 0, nat = 5, ntyp = 3
/
ATOMIC_SPECIES
Y 88.91 Y.upf
Hf 178.49 Hf.upf
Te 127.60 Te.upf
ATOMIC_POSITIONS angstrom
Y 0.0000 0.0000 0.0000
Hf 2.7221 2.7221 2.7221
Te 0.0000 2.7221 2.7221
Te 2.7221 0.0000 2.7221
Te 2.7221 2.7221 0.0000
CELL_PARAMETERS angstrom
5.4443 0.0000 0.0000
0.0000 5.4443 0.0000
0.0000 0.0000 5.4443
```

***

DFT (SCAN) results for a crystal of YHfTe2 relaxed with PBEsol. Values from VASP.

Summary:
The calculated density is 6.17 g/cm3. The space-group type is I-42d. For the uncorrected energy, the calculation gives -41.64 eV per atom.

The structure in Quantum ESPRESSO input format:
```
&SYSTEM
  ibrav = 0, nat = 8, ntyp = 3
/
ATOMIC_SPECIES
Y 88.91 Y.upf
Hf 178.49 Hf.upf
Te 127.60 Te.upf
ATOMIC_POSITIONS angstrom
Y 0.0000 0.0000 0.0000
Y 0.0000 3.2605 3.3078
Hf 3.2605 0.0000 3.3078
Hf 0.0000 0.0000 6.6156
Te 1.6302 -1.4682 4.9617
Te 1.7923 1.6302 1.6539
Te 1.6302 4.7286 -1.6539
Te 1.4682 1.6302 8.2695
CELL_PARAMETERS angstrom
-3.2605 3.2605 6.6156
3.2605 -3.2605 6.6156
3.2605 3.2605 -6.6156
```